1.
CaLaPm2 | PBE | optimized geometry

Properties
formation energy = 0.04 eV/atom
distance to the lowest polymorph of the same formula = 0 kJ/mol of formula units
D(E_F) = 1.7965 states/eV/atom

a b c (Å): 3.709 3.709 12.441
angles (deg): 81.43 81.43 60.00
Positions (direct):
Pm  0.080  0.080  0.759
Pm  0.253  0.253  0.241
Ca  0.500  0.500  0.499
La  0.666  0.666  0.001

---

2.
Ca2La7Pm2 | PBE | optimized geometry

Properties
formation energy = 0.19 eV/atom
D(E_F) = 1.3797 states/eV/atom

a b c (Å): 7.196 7.196 8.527
angles (deg): 101.64 101.64 77.84
Positions (direct):
La  0.925  0.530  0.687
La  0.753  0.753  0.072
La  0.075  0.470  0.313
Ca  0.551  0.551  0.315
La  0.470  0.075  0.313
Pm  0.218  0.782  0.000
La  0.247  0.247  0.928
Pm  0.782  0.218  0.000
La  0.000  0.000  0.500
La  0.530  0.925  0.687
Ca  0.449  0.449  0.685

---

3.
CaLaPm2 | PBE | optimized geometry

Properties
formation energy = 0.05 eV/atom
distance to the lowest polymorph of the same formula = 2 kJ/mol of formula units
D(E_F) = 1.8815 states/eV/atom

a b c (Å): 3.707 3.707 12.489
angles (deg): 81.47 81.47 60.00
Positions (direct):
La  0.000  0.000  0.000
Ca  0.500  0.500  0.500
Pm  0.747  0.747  0.758
Pm  0.253  0.253  0.242

---

4.
CaLa8Pm5 | PBE | optimized geometry

Properties
formation energy = 0.22 eV/atom
D(E_F) = 1.6616 states/eV/atom

a b c (Å): 8.811 8.811 8.811
angles (deg): 110.99 106.48 110.99
Positions (direct):
La  0.724  0.249  0.325
Pm  0.500  0.000  0.500
La  0.525  0.601  0.276
La  0.568  0.913  0.832
La  0.076  0.751  0.475
La  0.344  0.264  0.432
Pm  0.275  0.097  0.964
La  0.675  0.399  0.924
Pm  0.822  0.688  0.725
Pm  0.866  0.903  0.178
Pm  0.036  0.312  0.134
Ca  0.250  0.500  0.750
La  0.168  0.736  0.080
La  0.920  0.087  0.656

---

5.
CaLa6Pm3 | PBE | optimized geometry

Properties
formation energy = 0.08 eV/atom
D(E_F) = 1.5762 states/eV/atom

a b c (Å): 3.609 13.759 15.677
angles (deg): 108.78 90.00 90.00
Positions (direct):
La  0.250  0.379  0.508
La  0.250  0.675  0.290
Pm  0.250  0.814  0.701
La  0.250  0.976  0.103
La  0.250  0.878  0.495
Pm  0.750  0.919  0.305
Ca  0.750  0.723  0.094
La  0.750  0.325  0.710
La  0.250  0.536  0.890
Pm  0.250  0.081  0.695
Pm  0.750  0.574  0.697
La  0.250  0.220  0.110
La  0.750  0.464  0.110
Pm  0.750  0.186  0.299
La  0.750  0.780  0.890
Ca  0.250  0.277  0.906
La  0.750  0.122  0.505
La  0.750  0.621  0.492
La  0.750  0.024  0.897
Pm  0.250  0.426  0.303

---

6.
Ca2La2Pm15 | PBE | optimized geometry

Properties
formation energy = 0.24 eV/atom
D(E_F) = 1.6160 states/eV/atom

a b c (Å): 8.975 8.975 8.975
angles (deg): 81.58 81.58 81.58
Positions (direct):
Pm  0.000  0.301  0.699
Pm  0.150  0.638  0.638
Pm  0.638  0.638  0.150
Pm  0.301  0.000  0.699
Pm  0.362  0.850  0.362
Ca  0.666  0.666  0.666
Pm  0.301  0.699  0.000
Pm  0.699  0.000  0.301
Ca  0.334  0.334  0.334
Pm  0.000  0.000  0.500
Pm  0.638  0.150  0.638
Pm  0.362  0.362  0.850
La  0.911  0.911  0.911
Pm  0.000  0.699  0.301
Pm  0.000  0.500  0.000
Pm  0.850  0.362  0.362
La  0.089  0.089  0.089
Pm  0.500  0.000  0.000
Pm  0.699  0.301  0.000

---

Number 1: E -0.1494 Ha/atom. Number 2: E -0.1535 Ha/atom. Number 3: E -0.1492 Ha/atom. Number 4: E -0.1631 Ha/atom. Number 5: E -0.1656 Ha/atom. Number 6: E -0.1560 Ha/atom.